1.
Entry from Alexandria via LeMat-Bulk: a crystal of Cd2PCl2 relaxed with PBEsol (meta-GGA SCAN).

```
Cd2PCl2
1.0
7.701 0.000 0.000
0.000 8.888 0.000
-3.920 0.000 6.895
Cd P Cl
8 4 8
Cartesian
-0.571 1.786 1.413
-2.531 2.658 4.861
2.434 5.171 1.585
0.474 8.161 5.033
3.307 0.727 1.862
1.347 3.717 5.310
6.313 6.230 2.034
4.353 7.102 5.482
0.292 5.418 0.397
-1.668 7.914 3.844
5.450 0.974 3.051
3.490 3.470 6.499
-0.860 4.737 4.790
1.100 8.596 1.342
-0.378 1.753 6.345
1.582 2.691 2.897
2.200 6.197 3.998
4.160 7.135 0.550
2.682 0.292 5.553
4.641 4.152 2.105
```

Results
Its magnetic moment is 0.00 μB/f.u. Its raw total energy is -365.35 eV per cell. The value obtained for the density of states at the Fermi level is 0.000 states/eV per cell.

---

2.
Entry from Alexandria via LeMat-Bulk: a crystal of P2Rh relaxed with PBEsol (meta-GGA SCAN).

```
P2Rh
1.0
4.121 0.000 0.000
-2.060 3.569 0.000
0.000 0.000 5.590
P Rh
4 2
Cartesian
0.000 2.379 0.291
0.000 2.379 2.504
2.060 1.190 3.087
2.060 1.190 5.299
0.000 0.000 1.398
0.000 0.000 4.193
```

Results
Its magnetic moment is 0.00 μB/f.u. The value obtained for the energy relative to the elements is 358 meV per atom. The value obtained for the density of states at the Fermi level is 4.037 states/eV per cell.

---

- Which value of magnetic moment does entry 1 give?
  0.00 μB/f.u.

---

- Which formula does entry 2 have?
  P2Rh

---

- Look up the magnetic moment of the first one.
  0.00 μB/f.u.